# 1
BaHgPb2: optimized geometry, GGA-PBE.

Energy relative to the lowest polymorph listed for this composition   18 meV/atom
DFT total energy   -11.091 eV per cell

Unit cell a=5.7705 b=5.7705 c=5.7705 alpha=120.08 beta=120.12 gamma=89.83
Last column: nearest neighbours and their distance in Å.
Fractional positions:
Hg: 0.2501 0.7501 0.5000  4 Pb 3.53, 4 Ba 3.53
Pb: 0.7500 0.2500 0.5000  4 Ba 3.53, 4 Pb 3.53
Ba: 0.5000 0.5000 0.0000  4 Pb 3.53, 4 Hg 3.53
Pb: 0.9999 0.9999 0.0000  4 Hg 3.53, 4 Pb 3.53


# 2
LiIrRh: optimized geometry, GGA-PBE.

Energy relative to the lowest polymorph listed for this composition   171 meV/atom
DFT total energy   -17.877 eV per cell

Unit cell a=7.1436 b=6.8959 c=2.6832 alpha=84.23 beta=73.83 gamma=21.94
Last column: nearest neighbours and their distance in Å.
Fractional positions:
Rh: 0.6680 0.6680 0.3320  2 Li 2.62, 2 Ir 2.67, 6 Rh 2.68-2.73
Ir: 0.9986 0.9986 0.0014  2 Li 2.62, 2 Rh 2.67, 6 Ir 2.68-2.73
Li: 0.3334 0.3334 0.6666  2 Ir 2.62, 2 Rh 2.62, 6 Li 2.68-2.73